Zr4Sc2Sb3N3: optimized geometry, PBE-GGA.

```
Zr4Sc2Sb3N3
1.0
5.106 -2.952 0.000
5.106 2.952 0.000
-3.406 0.000 13.761
Zr Sc Sb N
8 4 6 6
Cartesian
0.851 0.495 1.184
0.853 0.494 5.697
-0.852 -0.495 8.065
-0.851 -0.494 12.577
7.656 0.494 1.184
7.658 0.495 5.697
5.953 -0.494 8.065
5.955 -0.495 12.578
4.262 0.488 1.173
4.247 0.488 5.708
2.559 -0.488 8.054
2.544 -0.488 12.588
4.254 2.439 3.440
0.872 0.475 10.320
2.575 -0.475 3.439
4.231 0.475 10.322
5.934 -0.475 3.441
2.551 -2.439 10.321
2.553 1.476 0.000
2.572 1.443 6.881
5.937 1.443 0.000
0.850 -1.476 6.881
4.275 -1.443 0.000
4.234 -1.443 6.881
```

Results
As for the theoretical density: 6.90 g cm⁻³. The total energy is -8.18 eV/atom.